Tb2PrY4Sc | PBE-GGA | relaxed

Unit cell a=9.4363 b=9.4363 c=11.7291 alpha=128.42 beta=128.42 gamma=88.23
Last column: nearest neighbours and their distance in Å.
Atoms (fractional coordinates):
Tb1 0.5000 0.0000 0.0000  6 Y 3.28-3.39, 2 Pr 3.39
Tb2 0.5000 0.0000 0.5000  6 Y 3.28-3.39, 2 Pr 3.39
Tb3 0.0000 0.0000 0.5000  2 Tb 3.39, 6 Y 3.43-3.51
Tb4 0.5000 0.5000 0.0000  2 Tb 3.39, 6 Y 3.43-3.51
Pr1 0.0000 0.5000 0.0000  6 Y 3.30-3.40, 2 Tb 3.39
Pr2 0.0000 0.5000 0.5000  6 Y 3.30-3.40, 2 Tb 3.39
Y1 0.2401 0.7621 0.0011  1 Sc 3.14, 2 Y 3.38-3.41, 3 Tb 3.39-3.43, 2 Pr 3.39-3.40
Y2 0.7379 0.2599 0.4989  1 Sc 3.14, 2 Y 3.38-3.41, 3 Tb 3.39-3.43, 2 Pr 3.39-3.40
Y3 0.2621 0.7401 0.5011  1 Sc 3.14, 2 Y 3.38-3.41, 3 Tb 3.39-3.43, 2 Pr 3.39
Y4 0.7599 0.2379 0.9989  1 Sc 3.14, 2 Y 3.38-3.41, 3 Tb 3.39-3.43, 2 Pr 3.39
Y5 0.7480 0.7497 0.9868  2 Sc 3.26-3.27, 3 Tb 3.28-3.51, 1 Pr 3.30, 2 Y 3.39
Y6 0.7503 0.7520 0.5132  2 Sc 3.26-3.27, 3 Tb 3.28-3.51, 1 Pr 3.30, 2 Y 3.39
Y7 0.2497 0.2480 0.4868  2 Sc 3.26-3.27, 3 Tb 3.28-3.51, 1 Pr 3.30, 2 Y 3.39
Y8 0.2520 0.2503 0.0132  2 Sc 3.26-3.27, 3 Tb 3.28-3.51, 1 Pr 3.30, 2 Y 3.39
Sc1 0.5000 0.5000 0.5000  6 Y 3.14-3.27, 2 Sc 3.39
Sc2 0.0000 0.0000 0.0000  6 Y 3.14-3.27, 2 Sc 3.39

Properties
The formation energy from the elements is 0.429 eV per atom. As for the calculated volume: 32.68 Å³ per atom.